Compound: Ac6In5Cu
Source: the Alexandria database
Functional: PBE
Structure: optimized geometry

Cell and atoms, written as CIF:
```
data_Ac6In5Cu
_chemical_formula_sum 'Ac6 In5 Cu1'
_space_group_name_H-M_alt 'P 1 2/m 1'
_space_group_IT_number 10
_space_group_name_Hall '-P 2y'
_cell_length_a 5.757
_cell_length_b 8.147
_cell_length_c 9.091
_cell_angle_alpha 90.00
_cell_angle_beta 108.10
_cell_angle_gamma 90.00
loop_
_atom_site_label
_atom_site_fract_x
_atom_site_fract_y
_atom_site_fract_z
Ac1 0.000 0.239 0.000
Ac2 0.340 0.243 0.678
In1 0.166 0.000 0.336
In2 0.167 0.500 0.339
In3 0.500 0.500 0.000
Cu1 0.500 0.000 0.000
```

Summary:
DFT total energy in eV per atom: -3.878
N(E_F) in states/eV per atom: 1.128
Magnetization in μB per cell: 0.00